La2HoMnSe5: relaxed, PBE-GGA.

Energy relative to the elements, uncorrected   -1.6492 eV/atom
Calculated volume   25.287 Å³ per atom

abc: 4.1344 17.4619 12.6092
angles: 90.00 90.00 90.00
With the nearest neighbours (Å) after each atom.
Space group Cmc2_1 (No. 36)
One atom of each set of equivalent atoms:
La (0.0000, 0.1192, 0.0000) (multiplicity 4)  8 Se 3.08-3.36
La (0.0000, 0.1216, 0.3524) (multiplicity 4)  8 Se 3.09-3.27
Ho (0.0000, 0.1851, 0.6810) (multiplicity 4)  6 Se 2.84-2.90
Mn (0.0000, 0.4447, 0.0869) (multiplicity 4)  4 Se 2.43-2.55
Se (0.0000, 0.0203, 0.6830) (multiplicity 4)  2 Mn 2.47
Se (0.0000, 0.3033, 0.3388) (multiplicity 4)  2 Ho 2.88, 3 La 3.18-3.20
Se (0.0000, 0.3072, 0.0196) (multiplicity 4)  1 Mn 2.55
Se (0.0000, 0.3475, 0.6750) (multiplicity 4)  1 Ho 2.84, 4 La 3.08-3.09
Se (0.0000, 0.4962, 0.4121) (multiplicity 4)  1 Mn 2.43

Li3PdBr: relaxed, PBE-GGA.

Energy relative to the elements, uncorrected   -0.4441 eV/atom
ΔE to the lowest computed polymorph   0.0 meV per atom
Calculated volume   22.497 Å³ per atom

abc: 4.8273 4.8273 4.8273
angles: 90.00 90.00 90.00
With the nearest neighbours (Å) after each atom.
Space group Pm-3m (No. 221)
One atom of each set of equivalent atoms:
Li (0.0000, 0.0000, 0.5000) (multiplicity 3)  2 Pd 2.41
Pd (0.0000, 0.0000, 0.0000) (multiplicity 1)  6 Li 2.41
Br (0.5000, 0.5000, 0.5000) (multiplicity 1)  12 Li 3.41